Entry 1:
Entry from the Alexandria database: an optimized crystal structure of TcSBrCl2 (GGA-PBE).

## Properties
For the energy above the lowest structure with this stoichiometry, the calculation gives 0.0 meV per atom. Its total magnetization is 0.00 μB per formula unit. The formation energy (no corrections) comes out at 0.05 eV/atom.

Cell lengths 4.819, 4.819, 4.589 Å; angles 90.00, 90.00, 90.00 degrees
Atoms (fractional coordinates):
Tc  0.000  0.000  0.000
S  0.000  0.000  0.500
Br  0.500  0.500  0.500
Cl  0.000  0.500  0.000
Cl  0.500  0.000  0.000

***

Entry 2:
Entry from the Alexandria database: an optimized crystal structure of TcS2BrCl (GGA-PBE).

## Properties
For the energy above the lowest structure with this stoichiometry, the calculation gives 0.0 meV per atom. Its total magnetization is 0.00 μB per formula unit. The formation energy (no corrections) comes out at 0.16 eV/atom.

Cell lengths 4.617, 4.617, 4.867 Å; angles 90.00, 90.00, 90.00 degrees
Atoms (fractional coordinates):
Tc  0.000  0.000  0.000
S  0.000  0.500  0.000
S  0.500  0.000  0.000
Br  0.500  0.500  0.500
Cl  0.000  0.000  0.500

***

Entry 3:
Entry from the Alexandria database: an optimized crystal structure of TcS2BrCl (GGA-PBE).

## Properties
For the energy above the lowest structure with this stoichiometry, the calculation gives 1174.5 meV per atom. Its total magnetization is 4.76 μB per formula unit. The formation energy (no corrections) comes out at 1.33 eV/atom.

Cell lengths 4.941, 4.941, 4.974 Å; angles 90.00, 90.00, 90.00 degrees
Atoms (fractional coordinates):
Tc  0.000  0.000  0.000
S  0.000  0.500  0.500
S  0.500  0.000  0.500
Br  0.500  0.500  0.500
Cl  0.500  0.500  0.000

***

Entry 4:
Entry from the Alexandria database: an optimized crystal structure of TcSBrCl2 (GGA-PBE).

## Properties
For the energy above the lowest structure with this stoichiometry, the calculation gives 1104.8 meV per atom. Its total magnetization is 4.65 μB per formula unit. The formation energy (no corrections) comes out at 1.16 eV/atom.

Cell lengths 5.047, 5.047, 5.230 Å; angles 90.00, 90.00, 90.00 degrees
Atoms (fractional coordinates):
Tc  0.000  0.000  0.000
S  0.500  0.500  0.000
Br  0.500  0.500  0.500
Cl  0.000  0.500  0.500
Cl  0.500  0.000  0.500

***

Entry 5:
Entry from the Alexandria database: an optimized crystal structure of TeSBrCl2 (GGA-PBE).

## Properties
For the energy above the lowest structure with this stoichiometry, the calculation gives 0.0 meV per atom. Its total magnetization is 1.22 μB per formula unit. The formation energy (no corrections) comes out at 0.18 eV/atom.

Cell lengths 5.207, 5.207, 5.243 Å; angles 90.00, 90.00, 90.00 degrees
Atoms (fractional coordinates):
Te  0.000  0.000  0.000
S  0.000  0.000  0.500
Br  0.500  0.500  0.500
Cl  0.000  0.500  0.000
Cl  0.500  0.000  0.000

***

Entry 6:
Entry from the Alexandria database: an optimized crystal structure of Tl5SBr2Cl (GGA-PBE).

## Properties
Its total magnetization is 0.00 μB per formula unit. The formation energy (no corrections) comes out at -0.69 eV/atom.

Cell lengths 10.329, 10.329, 14.200 Å; angles 90.00, 90.00, 155.01 degrees
Atoms (fractional coordinates):
Tl  0.004  0.996  0.500
Tl  0.122  0.878  0.743
Tl  0.210  0.790  0.130
Tl  0.240  0.760  0.417
Tl  0.411  0.589  0.821
Tl  0.589  0.411  0.321
Tl  0.760  0.240  0.917
Tl  0.790  0.210  0.630
Tl  0.878  0.122  0.243
Tl  0.996  0.004  0.000
S  0.271  0.729  0.771
S  0.729  0.271  0.271
Br  0.376  0.624  0.067
Br  0.398  0.602  0.423
Br  0.602  0.398  0.923
Br  0.624  0.376  0.567
Cl  0.055  0.945  0.189
Cl  0.945  0.055  0.689

***

Entry 7:
Entry from the Alexandria database: an optimized crystal structure of TlS2BrCl (GGA-PBE).

## Properties
For the energy above the lowest structure with this stoichiometry, the calculation gives 172.7 meV per atom. Its total magnetization is 3.26 μB per formula unit. The formation energy (no corrections) comes out at 0.56 eV/atom.

Cell lengths 5.380, 5.380, 5.210 Å; angles 90.00, 90.00, 90.00 degrees
Atoms (fractional coordinates):
Tl  0.000  0.000  0.000
S  0.000  0.500  0.000
S  0.500  0.000  0.000
Br  0.500  0.500  0.500
Cl  0.000  0.000  0.500

***

Entry 8:
Entry from the Alexandria database: an optimized crystal structure of Tl6SBr2Cl2 (GGA-PBE).

## Properties
Its total magnetization is 0.00 μB per formula unit. The formation energy (no corrections) comes out at -0.75 eV/atom.

Cell lengths 8.008, 8.008, 8.064 Å; angles 100.39, 100.39, 124.70 degrees
Atoms (fractional coordinates):
Tl  0.084  0.385  0.251
Tl  0.246  0.246  0.699
Tl  0.385  0.084  0.251
Tl  0.615  0.916  0.749
Tl  0.754  0.754  0.301
Tl  0.916  0.615  0.749
S  0.500  0.500  0.500
Br  0.351  0.649  0.000
Br  0.649  0.351  0.000
Cl  0.204  0.796  0.500
Cl  0.796  0.204  0.500

***

Entry 9:
Entry from the Alexandria database: an optimized crystal structure of TlS2BrCl (GGA-PBE).

## Properties
For the energy above the lowest structure with this stoichiometry, the calculation gives 0.0 meV per atom. Its total magnetization is 0.00 μB per formula unit. The formation energy (no corrections) comes out at 0.39 eV/atom.

Cell lengths 4.799, 4.799, 6.838 Å; angles 90.00, 90.00, 90.00 degrees
Atoms (fractional coordinates):
Tl  0.000  0.000  0.000
S  0.000  0.500  0.500
S  0.500  0.000  0.500
Br  0.500  0.500  0.500
Cl  0.500  0.500  0.000

***

Entry 10:
Entry from the Alexandria database: an optimized crystal structure of US2Br2Cl2 (GGA-PBE).

## Properties
Its total magnetization is 4.00 μB per formula unit. The formation energy (no corrections) comes out at -0.91 eV/atom.

Cell lengths 15.736, 4.285, 10.674 Å; angles 90.00, 126.40, 90.00 degrees
Atoms (fractional coordinates):
U  0.000  0.000  0.000
U  0.500  0.500  0.000
S  0.074  0.000  0.549
S  0.426  0.500  0.451
S  0.574  0.500  0.549
S  0.926  0.000  0.451
Br  0.075  0.500  0.908
Br  0.425  0.000  0.092
Br  0.575  0.000  0.908
Br  0.925  0.500  0.092
Cl  0.173  0.000  0.265
Cl  0.327  0.500  0.735
Cl  0.673  0.500  0.265
Cl  0.827  0.000  0.735

***

Entry 11:
Entry from the Alexandria database: an optimized crystal structure of USBrCl (GGA-PBE).

## Properties
Its total magnetization is 2.00 μB per formula unit. The formation energy (no corrections) comes out at -1.27 eV/atom.

Cell lengths 4.497, 4.497, 21.844 Å; angles 90.00, 90.00, 120.00 degrees
Atoms (fractional coordinates):
U  0.000  0.000  0.000
U  0.333  0.667  0.667
U  0.667  0.333  0.333
S  0.000  0.000  0.643
S  0.333  0.667  0.310
S  0.667  0.333  0.976
Br  0.000  0.000  0.877
Br  0.333  0.667  0.543
Br  0.667  0.333  0.210
Cl  0.000  0.000  0.400
Cl  0.333  0.667  0.067
Cl  0.667  0.333  0.734

***

Entry 12:
Entry from the Alexandria database: an optimized crystal structure of VS2BrCl (GGA-PBE).

## Properties
For the energy above the lowest structure with this stoichiometry, the calculation gives 0.0 meV per atom. Its total magnetization is 0.02 μB per formula unit. The formation energy (no corrections) comes out at -0.14 eV/atom.

Cell lengths 4.606, 4.606, 4.721 Å; angles 90.00, 90.00, 90.00 degrees
Atoms (fractional coordinates):
V  0.000  0.000  0.000
S  0.000  0.500  0.000
S  0.500  0.000  0.000
Br  0.500  0.500  0.500
Cl  0.000  0.000  0.500

***

Entry 13:
Entry from the Alexandria database: an optimized crystal structure of VSBrCl2 (GGA-PBE).

## Properties
For the energy above the lowest structure with this stoichiometry, the calculation gives 1398.7 meV per atom. Its total magnetization is 0.30 μB per formula unit. The formation energy (no corrections) comes out at 1.09 eV/atom.

Cell lengths 5.081, 5.081, 5.084 Å; angles 90.00, 90.00, 90.00 degrees
Atoms (fractional coordinates):
V  0.000  0.000  0.000
S  0.500  0.500  0.000
Br  0.500  0.500  0.500
Cl  0.000  0.500  0.500
Cl  0.500  0.000  0.500

***

Entry 14:
Entry from the Alexandria database: an optimized crystal structure of VSBrCl2 (GGA-PBE).

## Properties
For the energy above the lowest structure with this stoichiometry, the calculation gives 1092.1 meV per atom. Its total magnetization is 2.07 μB per formula unit. The formation energy (no corrections) comes out at 0.78 eV/atom.

Cell lengths 5.080, 5.080, 5.285 Å; angles 90.00, 90.00, 90.00 degrees
Atoms (fractional coordinates):
V  0.000  0.000  0.000
S  0.500  0.500  0.000
Br  0.000  0.000  0.500
Cl  0.000  0.500  0.500
Cl  0.500  0.000  0.500

***

Entry 15:
Entry from the Alexandria database: an optimized crystal structure of VSBrCl2 (GGA-PBE).

## Properties
For the energy above the lowest structure with this stoichiometry, the calculation gives 0.0 meV per atom. Its total magnetization is 0.00 μB per formula unit. The formation energy (no corrections) comes out at -0.31 eV/atom.

Cell lengths 4.682, 4.682, 4.680 Å; angles 90.00, 90.00, 90.00 degrees
Atoms (fractional coordinates):
V  0.000  0.000  0.000
S  0.000  0.000  0.500
Br  0.500  0.500  0.500
Cl  0.000  0.500  0.000
Cl  0.500  0.000  0.000

***

Entry 16:
Entry from the Alexandria database: an optimized crystal structure of VS2BrCl (GGA-PBE).

## Properties
For the energy above the lowest structure with this stoichiometry, the calculation gives 1133.3 meV per atom. Its total magnetization is 3.21 μB per formula unit. The formation energy (no corrections) comes out at 0.99 eV/atom.

Cell lengths 4.920, 4.920, 4.957 Å; angles 90.00, 90.00, 90.00 degrees
Atoms (fractional coordinates):
V  0.000  0.000  0.000
S  0.000  0.500  0.500
S  0.500  0.000  0.500
Br  0.500  0.500  0.500
Cl  0.500  0.500  0.000

***

Entry 17:
Entry from the Alexandria database: an optimized crystal structure of WSBrCl2 (GGA-PBE).

## Properties
For the energy above the lowest structure with this stoichiometry, the calculation gives 0.0 meV per atom. Its total magnetization is 0.00 μB per formula unit. The formation energy (no corrections) comes out at -0.04 eV/atom.

Cell lengths 4.792, 4.792, 4.687 Å; angles 90.00, 90.00, 90.00 degrees
Atoms (fractional coordinates):
W  0.000  0.000  0.000
S  0.000  0.000  0.500
Br  0.500  0.500  0.500
Cl  0.000  0.500  0.000
Cl  0.500  0.000  0.000

***

Entry 18:
Entry from the Alexandria database: an optimized crystal structure of WSBrCl2 (GGA-PBE).

## Properties
For the energy above the lowest structure with this stoichiometry, the calculation gives 1637.8 meV per atom. Its total magnetization is 4.12 μB per formula unit. The formation energy (no corrections) comes out at 1.60 eV/atom.

Cell lengths 4.998, 4.998, 5.237 Å; angles 90.00, 90.00, 90.00 degrees
Atoms (fractional coordinates):
W  0.000  0.000  0.000
S  0.500  0.500  0.000
Br  0.500  0.500  0.500
Cl  0.000  0.500  0.500
Cl  0.500  0.000  0.500

***

Entry 19:
Entry from the Alexandria database: an optimized crystal structure of YS2BrCl (GGA-PBE).

## Properties
For the energy above the lowest structure with this stoichiometry, the calculation gives 0.0 meV per atom. Its total magnetization is 3.02 μB per formula unit. The formation energy (no corrections) comes out at -0.59 eV/atom.

Cell lengths 5.443, 5.443, 5.183 Å; angles 90.00, 90.00, 90.00 degrees
Atoms (fractional coordinates):
Y  0.000  0.000  0.000
S  0.000  0.500  0.000
S  0.500  0.000  0.000
Br  0.500  0.500  0.500
Cl  0.000  0.000  0.500

***

Entry 20:
Entry from the Alexandria database: an optimized crystal structure of YSBrCl2 (GGA-PBE).

## Properties
For the energy above the lowest structure with this stoichiometry, the calculation gives 1121.0 meV per atom. Its total magnetization is 0.00 μB per formula unit. The formation energy (no corrections) comes out at 0.06 eV/atom.

Cell lengths 5.080, 5.080, 5.276 Å; angles 90.00, 90.00, 90.00 degrees
Atoms (fractional coordinates):
Y  0.000  0.000  0.000
S  0.500  0.500  0.000
Br  0.500  0.500  0.500
Cl  0.000  0.500  0.500
Cl  0.500  0.000  0.500